Computed, not measured: a relaxed structure of PrHoZr at the GGA-PBE level of DFT.

Computed properties:
Energy above the lowest structure with this stoichiometry in meV per atom: 0
Mass density in g/cm3: 6.50
Energy relative to the elements in eV/atom: 0.930

Structure (POSCAR):
```
PrHoZr
1.0
0.0000 3.7016 3.7016
3.7016 0.0000 3.7016
3.7016 3.7016 0.0000
Ho Zr Pr
1 1 1
direct
0.0000 0.0000 0.0000
0.2500 0.2500 0.2500
0.7500 0.7500 0.7500
```